No. 1
Compound: CsBa2Ni
Source: the Alexandria database
Functional: GGA-PBE
Structure: optimized geometry

POSCAR file:
```
CsBa2Ni
1.0
-0.553 6.091 0.278
-5.557 2.564 0.178
-1.979 2.662 5.146
Cs Ni Ba
1 1 2
direct
0.500 0.500 0.500 Cs
0.000 0.000 0.000 Ni
0.250 0.250 0.250 Ba
0.750 0.750 0.750 Ba
```

ΔH_f (0 K) ... 519 meV per atom
Magnetic moment ... 0.00 μB per formula unit


No. 2
Compound: LaErAgRu
Source: the Alexandria database
Functional: GGA-PBE
Structure: optimized geometry

POSCAR file:
```
LaErAgRu
1.0
5.066 0.000 0.000
2.533 4.388 0.000
2.533 1.463 4.137
Ru La Ag Er
1 1 1 1
direct
0.750 0.750 0.750 Ru
0.000 0.000 0.000 La
0.250 0.250 0.250 Ag
0.500 0.500 0.500 Er
```

ΔH_f (0 K) ... -256 meV per atom
Magnetic moment ... 0.00 μB per formula unit


No. 3
Compound: BeTl2GaTe4
Source: the Alexandria database
Functional: GGA-PBE
Structure: optimized geometry

POSCAR file:
```
BeTl2GaTe4
1.0
-5.837 4.346 0.499
-2.202 -4.244 -5.552
1.944 -3.210 5.713
Be Tl Ga Te
1 2 1 4
direct
0.000 0.500 0.992 Be
0.425 0.921 0.830 Tl
0.181 0.184 0.385 Tl
0.744 0.748 0.493 Ga
0.708 0.608 0.779 Te
0.875 0.451 0.250 Te
0.376 0.805 0.237 Te
0.078 0.170 0.808 Te
```

Uncorrected formation energy ... -238 meV per atom
Magnetic moment ... 0.00 μB per formula unit


No. 4
Compound: Na3Cd2In7
Source: the Alexandria database
Functional: GGA-PBE
Structure: optimized geometry

POSCAR file:
```
Na3Cd2In7
1.0
-1.740 0.171 -5.573
0.357 -5.533 2.268
-6.859 3.685 10.079
Na Cd In
3 2 7
direct
0.500 0.500 0.000 Na
0.974 0.315 0.659 Na
0.026 0.685 0.341 Na
0.499 0.182 0.330 Cd
0.501 0.818 0.670 Cd
0.749 0.091 0.166 In
0.235 0.257 0.497 In
0.000 0.000 0.000 In
0.251 0.909 0.834 In
0.746 0.408 0.833 In
0.254 0.592 0.167 In
0.765 0.743 0.503 In
```

ΔH_f (0 K) ... -59 meV per atom
Magnetic moment ... 0.00 μB per formula unit
Distance to the lowest polymorph of the same formula ... 5 meV per atom


No. 5
Compound: NaGa6
Source: the Alexandria database
Functional: GGA-PBE
Structure: optimized geometry

POSCAR file:
```
NaGa6
1.0
-1.148 -1.822 5.668
5.899 -1.128 0.832
1.050 7.401 2.591
Na Ga
2 12
direct
0.500 0.000 0.000 Na
0.000 0.500 0.000 Na
0.500 0.500 0.158 Ga
0.000 0.000 0.158 Ga
0.000 0.000 0.842 Ga
0.500 0.500 0.842 Ga
0.750 0.750 0.342 Ga
0.250 0.750 0.342 Ga
0.750 0.250 0.342 Ga
0.250 0.250 0.342 Ga
0.750 0.750 0.658 Ga
0.250 0.750 0.658 Ga
0.750 0.250 0.658 Ga
0.250 0.250 0.658 Ga
```

ΔH_f (0 K) ... -92 meV per atom
Magnetic moment ... 0.00 μB per formula unit
Distance to the lowest polymorph of the same formula ... 0 meV per atom


No. 6
Compound: PmSiGe2
Source: the Alexandria database
Functional: GGA-PBE
Structure: optimized geometry

POSCAR file:
```
PmSiGe2
1.0
-2.377 1.966 3.113
1.133 -3.079 2.809
3.447 2.329 1.161
Ge Si Pm
2 1 1
direct
0.000 0.000 0.500 Ge
0.000 0.500 0.000 Ge
0.500 0.000 0.000 Si
0.500 0.500 0.500 Pm
```

Uncorrected formation energy ... -308 meV per atom
Magnetic moment ... 0.00 μB per formula unit
Distance to the lowest polymorph of the same formula ... 0 meV per atom


No. 7
Compound: TmScCd17
Source: the Alexandria database
Functional: GGA-PBE
Structure: optimized geometry

POSCAR file:
```
TmScCd17
1.0
-6.515 -3.195 2.417
1.783 -7.311 -1.368
2.262 -1.921 7.049
Tm Sc Cd
1 1 17
direct
0.682 0.682 0.682 Tm
0.318 0.318 0.318 Sc
0.316 0.000 0.685 Cd
0.685 0.316 0.000 Cd
0.000 0.685 0.316 Cd
0.316 0.685 0.000 Cd
0.000 0.316 0.685 Cd
0.685 0.000 0.316 Cd
0.389 0.746 0.389 Cd
0.389 0.389 0.746 Cd
0.746 0.389 0.389 Cd
0.669 0.112 0.669 Cd
0.669 0.669 0.112 Cd
0.112 0.669 0.669 Cd
0.028 0.467 0.028 Cd
0.028 0.028 0.467 Cd
0.467 0.028 0.028 Cd
0.906 0.906 0.906 Cd
0.093 0.093 0.093 Cd
```

ΔH_f (0 K) ... -48 meV per atom
Magnetic moment ... 0.00 μB per formula unit


No. 8
Compound: CaCoRh2
Source: the Alexandria database
Functional: GGA-PBE
Structure: optimized geometry

POSCAR file:
```
CaCoRh2
1.0
-1.242 -5.595 -6.649
-1.849 -7.374 -4.389
-3.939 -5.616 -5.478
Co Ca Rh
1 1 2
direct
0.750 0.750 0.750 Co
0.250 0.250 0.250 Ca
0.008 0.008 0.008 Rh
0.492 0.492 0.492 Rh
```

ΔH_f (0 K) ... 279 meV per atom
Magnetic moment ... 3.12 μB per formula unit
Distance to the lowest polymorph of the same formula ... 261 meV per atom


No. 9
Compound: TcHS2
Source: the Alexandria database
Functional: GGA-PBE
Structure: optimized geometry

POSCAR file:
```
TcHS2
1.0
-0.053 -3.324 -2.365
-2.572 -3.055 0.833
-3.184 -0.711 -2.449
H S Tc
1 2 1
direct
0.000 0.000 0.000 H
0.250 0.250 0.250 S
0.750 0.750 0.750 S
0.500 0.500 0.500 Tc
```

Magnetic moment ... 0.00 μB per formula unit
Distance to the lowest polymorph of the same formula ... 594 meV per atom


No. 10
Compound: KSiAg
Source: the Alexandria database
Functional: GGA-PBE
Structure: optimized geometry

POSCAR file:
```
KSiAg
1.0
-4.128 4.968 0.245
-4.481 2.247 -4.080
2.682 -4.648 3.603
Ag K Si
1 1 1
direct
0.054 0.054 0.000 Ag
0.328 0.328 0.000 K
0.618 0.618 0.000 Si
```

Uncorrected formation energy ... 200 meV per atom
Magnetic moment ... 0.00 μB per formula unit
Distance to the lowest polymorph of the same formula ... 207 meV per atom


No. 11
Compound: Pr2NdSe
Source: the Alexandria database
Functional: GGA-PBE
Structure: optimized geometry

POSCAR file:
```
Pr2NdSe
1.0
-2.543 0.324 3.039
-3.790 -1.113 -0.452
0.194 -9.289 3.755
Pr Nd Se
2 1 1
direct
0.065 0.065 0.804 Pr
0.268 0.268 0.196 Pr
0.500 0.500 0.501 Nd
0.667 0.667 0.999 Se
```

Uncorrected formation energy ... -799 meV per atom
Magnetic moment ... 0.46 μB per formula unit
Distance to the lowest polymorph of the same formula ... 0 meV per atom


No. 12
Compound: LuPaMoRu
Source: the Alexandria database
Functional: GGA-PBE
Structure: optimized geometry

POSCAR file:
```
LuPaMoRu
1.0
-1.305 2.377 -3.986
-4.111 -1.137 -2.248
-3.736 3.044 0.123
Ru Mo Pa Lu
1 1 1 1
direct
0.250 0.250 0.250 Ru
0.750 0.750 0.750 Mo
0.000 0.000 0.000 Pa
0.500 0.500 0.500 Lu
```

ΔH_f (0 K) ... -180 meV per atom
Magnetic moment ... 0.00 μB per formula unit


No. 13
Compound: EuAl4Sn
Source: the Alexandria database
Functional: GGA-PBE
Structure: optimized geometry

POSCAR file:
```
EuAl4Sn
1.0
5.648 0.000 0.000
2.824 4.892 0.000
2.824 1.631 4.612
Eu Sn Al
1 1 4
direct
0.250 0.250 0.250 Eu
0.000 0.000 0.000 Sn
0.625 0.625 0.125 Al
0.625 0.125 0.625 Al
0.625 0.625 0.625 Al
0.125 0.625 0.625 Al
```

ΔH_f (0 K) ... -133 meV per atom
Magnetic moment ... 7.46 μB per formula unit


No. 14
Compound: SrTiZn2Ru
Source: the Alexandria database
Functional: GGA-PBE
Structure: optimized geometry

POSCAR file:
```
SrTiZn2Ru
1.0
-0.096 4.234 2.452
-2.996 2.222 -3.955
-4.082 -1.421 2.294
Ru Zn Ti Sr
1 2 1 1
direct
0.500 0.500 0.500 Ru
0.000 0.000 0.500 Zn
0.500 0.000 0.000 Zn
0.000 0.000 0.000 Ti
0.000 0.500 0.000 Sr
```

ΔH_f (0 K) ... 1435 meV per atom
Magnetic moment ... 3.73 μB per formula unit


No. 15
Compound: TbDy5Al2
Source: the Alexandria database
Functional: GGA-PBE
Structure: optimized geometry

POSCAR file:
```
TbDy5Al2
1.0
-1.262 3.299 0.164
-3.591 0.154 7.415
5.602 3.804 4.696
Tb Dy Al
1 5 2
direct
0.000 0.000 0.000 Tb
0.000 0.500 0.500 Dy
0.637 0.588 0.138 Dy
0.363 0.412 0.862 Dy
0.363 0.862 0.412 Dy
0.637 0.138 0.588 Dy
0.738 0.762 0.762 Al
0.262 0.238 0.238 Al
```

ΔH_f (0 K) ... -88 meV per atom
Magnetic moment ... 0.00 μB per formula unit


No. 16
Compound: NaSrSn2
Source: the Alexandria database
Functional: GGA-PBE
Structure: optimized geometry

POSCAR file:
```
NaSrSn2
1.0
-2.807 -1.804 2.155
0.681 -3.391 -1.952
5.148 -1.908 5.108
Sr Sn Na
1 2 1
direct
0.500 0.500 0.500 Sr
0.000 0.000 0.788 Sn
0.000 0.000 0.212 Sn
0.500 0.500 0.000 Na
```

ΔH_f (0 K) ... -354 meV per atom
Magnetic moment ... 0.00 μB per formula unit


No. 17
Compound: AcHfNbN3
Source: the Alexandria database
Functional: GGA-PBE
Structure: optimized geometry

POSCAR file:
```
AcHfNbN3
1.0
-3.317 0.562 0.138
-0.980 -5.796 0.029
0.688 1.984 8.485
Ac Hf Nb N
2 2 2 6
direct
0.750 0.643 0.694 Ac
0.250 0.357 0.306 Ac
0.250 0.769 0.050 Hf
0.750 0.231 0.950 Hf
0.250 0.117 0.636 Nb
0.750 0.883 0.364 Nb
0.250 0.768 0.485 N
0.750 0.027 0.143 N
0.750 0.568 0.145 N
0.750 0.232 0.515 N
0.250 0.432 0.855 N
0.250 0.973 0.857 N
```

Uncorrected formation energy ... -1280 meV per atom
Magnetic moment ... 0.00 μB per formula unit


No. 18
Compound: CdFe2Cu
Source: the Alexandria database
Functional: GGA-PBE
Structure: optimized geometry

POSCAR file:
```
CdFe2Cu
1.0
-1.899 1.786 -1.441
0.857 -1.191 -2.604
-3.677 -5.592 -2.084
Cd Cu Fe
1 1 2
direct
0.000 0.500 0.500 Cd
0.500 0.716 0.784 Cu
0.000 0.985 0.015 Fe
0.500 0.299 0.201 Fe
```

ΔH_f (0 K) ... 197 meV per atom
Magnetic moment ... 4.92 μB per formula unit


No. 19
Compound: Na2I2O7
Source: the Alexandria database
Functional: GGA-PBE
Structure: optimized geometry

POSCAR file:
```
Na2I2O7
1.0
5.824 0.204 1.304
0.231 6.062 -0.212
0.938 -0.210 5.894
Na I O
2 2 7
direct
0.696 0.500 0.696 Na
0.304 0.500 0.304 Na
0.736 0.862 0.264 I
0.264 0.138 0.736 I
0.066 0.310 0.636 O
0.636 0.690 0.066 O
0.934 0.690 0.364 O
0.364 0.310 0.934 O
0.000 0.000 0.000 O
0.455 0.800 0.545 O
0.545 0.200 0.455 O
```

Uncorrected formation energy ... -660 meV per atom
Magnetic moment ... 0.00 μB per formula unit
Distance to the lowest polymorph of the same formula ... 69 meV per atom


No. 20
Compound: PmGdDySc
Source: the Alexandria database
Functional: GGA-PBE
Structure: optimized geometry

POSCAR file:
```
PmGdDySc
1.0
5.577 0.000 0.000
2.789 4.830 0.000
2.789 1.610 4.554
Sc Gd Pm Dy
1 1 1 1
direct
0.000 0.000 0.000 Sc
0.750 0.750 0.750 Gd
0.250 0.250 0.250 Pm
0.500 0.500 0.500 Dy
```

ΔH_f (0 K) ... 106 meV per atom
Magnetic moment ... 7.49 μB per formula unit


No. 21
Compound: BeCdC2
Source: the Alexandria database
Functional: GGA-PBE
Structure: optimized geometry

POSCAR file:
```
BeCdC2
1.0
-2.341 -3.011 -0.343
3.012 -2.360 0.161
-0.188 -2.951 5.808
Be C Cd
2 4 2
direct
0.500 0.500 0.000 Be
0.250 0.750 0.500 Be
0.443 0.125 0.250 C
0.307 0.625 0.250 C
0.375 0.557 0.750 C
0.875 0.693 0.750 C
0.000 0.000 0.000 Cd
0.750 0.250 0.500 Cd
```

ΔH_f (0 K) ... 1315 meV per atom
Magnetic moment ... 0.00 μB per formula unit
Distance to the lowest polymorph of the same formula ... 0 meV per atom


No. 22
Compound: Pm3Co2Si2
Source: the Alexandria database
Functional: GGA-PBE
Structure: optimized geometry

POSCAR file:
```
Pm3Co2Si2
1.0
-4.955 2.097 -1.747
-2.119 -7.084 -2.493
-5.079 -2.496 11.409
Pm Co Si
12 8 8
direct
0.138 0.610 0.101 Pm
0.862 0.390 0.601 Pm
0.862 0.110 0.399 Pm
0.138 0.890 0.899 Pm
0.862 0.390 0.899 Pm
0.138 0.610 0.399 Pm
0.138 0.890 0.601 Pm
0.862 0.110 0.101 Pm
0.363 0.258 0.250 Pm
0.637 0.742 0.750 Pm
0.637 0.758 0.250 Pm
0.363 0.242 0.750 Pm
0.625 0.472 0.086 Co
0.375 0.528 0.586 Co
0.375 0.972 0.414 Co
0.625 0.028 0.914 Co
0.375 0.528 0.914 Co
0.625 0.472 0.414 Co
0.625 0.028 0.586 Co
0.375 0.972 0.086 Co
0.390 0.250 0.000 Si
0.610 0.750 0.500 Si
0.610 0.750 0.000 Si
0.390 0.250 0.500 Si
0.835 0.408 0.250 Si
0.165 0.592 0.750 Si
0.165 0.908 0.250 Si
0.835 0.092 0.750 Si
```

Uncorrected formation energy ... -549 meV per atom
Magnetic moment ... 0.00 μB per formula unit


No. 23
Compound: Fe2HgRh
Source: the Alexandria database
Functional: GGA-PBE
Structure: optimized geometry

POSCAR file:
```
Fe2HgRh
1.0
4.690 -0.016 0.002
-3.189 5.299 0.011
0.004 1.539 2.407
Fe Hg Rh
2 1 1
direct
0.000 0.000 0.000 Fe
0.000 0.500 0.500 Fe
0.500 0.500 0.000 Hg
0.500 0.000 0.500 Rh
```

ΔH_f (0 K) ... 255 meV per atom
Magnetic moment ... 6.40 μB per formula unit


No. 24
Compound: BRu
Source: the Alexandria database
Functional: GGA-PBE
Structure: optimized geometry

POSCAR file:
```
BRu
1.0
2.941 0.000 0.000
0.000 5.867 0.000
0.000 0.000 4.940
Ru B
4 4
direct
0.000 0.000 0.500 Ru
0.000 0.500 0.500 Ru
0.500 0.500 0.000 Ru
0.500 0.000 0.000 Ru
0.000 0.250 0.853 B
0.000 0.750 0.147 B
0.500 0.750 0.353 B
0.500 0.250 0.647 B
```

ΔH_f (0 K) ... -90 meV per atom
Magnetic moment ... 0.00 μB per formula unit


No. 25
Compound: PmCdRh
Source: the Alexandria database
Functional: GGA-PBE
Structure: optimized geometry

POSCAR file:
```
PmCdRh
1.0
-2.278 2.281 1.397
-2.530 -1.242 -2.097
1.073 -4.148 4.104
Pm Rh Cd
1 1 1
direct
0.930 0.930 0.860 Pm
0.281 0.281 0.562 Rh
0.639 0.639 0.278 Cd
```

ΔH_f (0 K) ... -407 meV per atom
Magnetic moment ... 0.00 μB per formula unit
Distance to the lowest polymorph of the same formula ... 119 meV per atom